# 1
VASP calculation (PBE) on a relaxed structure of BeCo2TcH.

Cell: 3.5154 3.5154 3.8468 Å, 90.00 90.00 90.00°
Space group P4/mmm (No. 123)
Asymmetric unit:
Be 0.0000 0.0000 0.0000 (multiplicity 1)
Co 0.0000 0.5000 0.5000 (multiplicity 2)
Tc 0.5000 0.5000 0.0000 (multiplicity 1)
H 0.5000 0.5000 0.5000 (multiplicity 1)

Calculated values
**Crystal system**: tetragonal
**Energy**: -6.25 eV/atom
**DOS at the Fermi energy**: 4.64 states/eV per cell

# 2
VASP calculation (PBE) on a relaxed structure of ThBeCo2H8.

Cell: 4.4515 4.4515 5.9627 Å, 90.00 90.00 120.00°
Space group P-3m1 (No. 164)
Asymmetric unit:
Th 0.0000 0.0000 0.0000 (multiplicity 1)
Be 0.0000 0.0000 0.5000 (multiplicity 1)
Co 0.3333 0.6667 0.3571 (multiplicity 2)
H 0.1398 0.2797 0.3244 (multiplicity 6)
H 0.3333 0.6667 0.0884 (multiplicity 2)

Calculated values
**Crystal system**: trigonal
**Energy**: -4.34 eV/atom
**DOS at the Fermi energy**: 2.07 states/eV per cell

# 3
VASP calculation (PBE) on a relaxed structure of TmBeCo2H8.

Cell: 4.4101 4.4101 5.6290 Å, 90.00 90.00 120.00°
Space group P-3m1 (No. 164)
Asymmetric unit:
Tm 0.0000 0.0000 0.0000 (multiplicity 1)
Be 0.0000 0.0000 0.5000 (multiplicity 1)
Co 0.3333 0.6667 0.3663 (multiplicity 2)
H 0.1422 0.2843 0.3141 (multiplicity 6)
H 0.3333 0.6667 0.0890 (multiplicity 2)

Calculated values
**Crystal system**: trigonal
**Energy**: -4.08 eV/atom
**DOS at the Fermi energy**: 2.77 states/eV per cell

# 4
VASP calculation (PBE) on a relaxed structure of BeVCo2H.

Cell: 3.6174 3.6174 3.3669 Å, 90.00 90.00 90.00°
Space group P4/mmm (No. 123)
Asymmetric unit:
Be 0.0000 0.0000 0.0000 (multiplicity 1)
V 0.5000 0.5000 0.0000 (multiplicity 1)
Co 0.0000 0.5000 0.5000 (multiplicity 2)
H 0.0000 0.0000 0.5000 (multiplicity 1)

Calculated values
**Crystal system**: tetragonal
**Energy**: -6.09 eV/atom
**DOS at the Fermi energy**: 5.23 states/eV per cell
**Polymorph energy (0 for the lowest one)**: 51 meV per atom

# 5
VASP calculation (PBE) on a relaxed structure of BeVCo2H.

Cell: 3.5500 3.5500 3.5437 Å, 90.00 90.00 90.00°
Space group P4/mmm (No. 123)
Asymmetric unit:
Be 0.0000 0.0000 0.0000 (multiplicity 1)
V 0.5000 0.5000 0.0000 (multiplicity 1)
Co 0.0000 0.5000 0.5000 (multiplicity 2)
H 0.5000 0.5000 0.5000 (multiplicity 1)

Calculated values
**Crystal system**: tetragonal
**Energy**: -6.14 eV/atom
**DOS at the Fermi energy**: 3.66 states/eV per cell
**Polymorph energy (0 for the lowest one)**: 0 meV per atom

# 6
VASP calculation (PBE) on a relaxed structure of BeZnCo2H.

Cell: 3.6374 3.6374 3.3423 Å, 90.00 90.00 90.00°
Space group P4/mmm (No. 123)
Asymmetric unit:
Be 0.0000 0.0000 0.0000 (multiplicity 1)
Zn 0.5000 0.5000 0.0000 (multiplicity 1)
Co 0.0000 0.5000 0.5000 (multiplicity 2)
H 0.0000 0.0000 0.5000 (multiplicity 1)

Calculated values
**Crystal system**: tetragonal
**Energy**: -4.53 eV/atom
**DOS at the Fermi energy**: 4.89 states/eV per cell

# 7
VASP calculation (PBE) on a relaxed structure of Zr2BeCoH.

Cell: 4.4196 4.4196 3.4217 Å, 90.00 90.00 90.00°
Space group P4/mmm (No. 123)
Asymmetric unit:
Zr 0.0000 0.5000 0.0000 (multiplicity 2)
Be 0.0000 0.0000 0.5000 (multiplicity 1)
Co 0.5000 0.5000 0.5000 (multiplicity 1)
H 0.5000 0.5000 0.0000 (multiplicity 1)

Calculated values
**Crystal system**: tetragonal
**Energy**: -6.46 eV/atom
**DOS at the Fermi energy**: 2.99 states/eV per cell
**Polymorph energy (0 for the lowest one)**: 0 meV per atom

# 8
VASP calculation (PBE) on a relaxed structure of Zr2BeCoH.

Cell: 4.3922 4.3922 3.4196 Å, 90.00 90.00 90.00°
Space group P4/mmm (No. 123)
Asymmetric unit:
Zr 0.0000 0.5000 0.0000 (multiplicity 2)
Be 0.0000 0.0000 0.5000 (multiplicity 1)
Co 0.5000 0.5000 0.5000 (multiplicity 1)
H 0.0000 0.0000 0.0000 (multiplicity 1)

Calculated values
**Crystal system**: tetragonal
**Energy**: -6.41 eV/atom
**DOS at the Fermi energy**: 4.01 states/eV per cell
**Polymorph energy (0 for the lowest one)**: 55 meV per atom